Entry 1:
CrGeTe2I (PBE, optimized geometry); Fermi-level density of states = 1.175 states/eV/atom; density = 5.013 Mg/m³; distance to the lowest polymorph of the same formula = 0.243 eV per atom; raw formation energy = 0.64 eV per atom; DFT total energy = -18.87 eV for the cell shown; total moment = 4.16 μB per cell; symmetry = P4/mmm, No. 123; crystal system = tetragonal
1.0
-4.4496 -2.2525 -2.1658
2.9853 -4.1776 -1.7885
-0.9640 -2.7702 4.8617
Te Ge Cr I
2 1 1 1
Cartesian
1.4927 -2.0888 -0.8942 Te
-2.2248 -1.1263 -1.0829 Te
0.0000 0.0000 0.0000 Ge
-1.2141 -4.6002 0.4537 Cr
-0.4820 -1.3851 2.4308 I

---

Entry 2:
ZrCr2GeI (PBE, optimized geometry); Fermi-level density of states = 1.110 states/eV/atom; density = 5.316 Mg/m³; raw formation energy = 0.67 eV per atom; DFT total energy = -30.62 eV for the cell shown; total moment = 8.44 μB per cell; symmetry = P4/mmm, No. 123; crystal system = tetragonal
1.0
-2.8437 -3.8361 -0.7788
4.1451 -2.7075 -1.7991
0.9098 -1.5840 4.4802
I Cr Ge Zr
1 2 1 1
Cartesian
1.1056 -4.0638 0.9511 I
-1.4219 -1.9180 -0.3894 Cr
0.4549 -0.7920 2.2401 Cr
0.0000 0.0000 0.0000 Ge
2.0725 -1.3538 -0.8995 Zr

---

Entry 3:
Cr2InGe2 (PBE, optimized geometry); DFT formation energy = 0.3541 eV/atom; Fermi-level density of states = 1.171 states/eV/atom; density = 7.896 Mg/m³; distance to the lowest polymorph of the same formula = 0.105 eV per atom; DFT total energy = -58.90 eV for the cell shown; total moment = 0.00 μB per cell; symmetry = P4/mbm, No. 127; crystal system = tetragonal
1.0
7.4055 0.0000 0.0000
0.0000 7.4055 0.0000
0.0000 0.0000 2.7922
Cr Ge In
4 4 2
Cartesian
2.5984 1.1044 1.3961 Cr
1.1044 4.8072 1.3961 Cr
6.3011 2.5984 1.3961 Cr
4.8072 6.3011 1.3961 Cr
2.6524 6.3552 0.0000 Ge
1.0503 2.6524 0.0000 Ge
6.3552 4.7531 0.0000 Ge
4.7531 1.0503 0.0000 Ge
3.7028 3.7028 0.0000 In
0.0000 0.0000 0.0000 In

---

Q: What is the Fermi-level density of states in the second record?
A: 1.110 states/eV/atom

---

Q: Fermi-level density of states of number 2 (ZrCr2GeI)?
A: 1.110 states/eV/atom

---

Q: Number 2 is which compound?
A: ZrCr2GeI